(P)
DFT (PBE-GGA) results for a geometry-optimized CeScTi structure.

**DOS at the Fermi energy**: 1.482 states/eV/atom

Unit cell a=3.157 b=4.951 c=4.951 alpha=120.00 beta=90.00 gamma=90.00
Element x y z (fractional)
Ti 0.167 0.333 0.667
Sc 0.667 0.667 0.333
Ce 0.167 0.000 0.000



(Q)
DFT (PBE-GGA) results for a geometry-optimized CeScTi structure.

**DOS at the Fermi energy**: 1.969 states/eV/atom

Unit cell a=3.063 b=5.571 c=8.660 alpha=98.99 beta=90.00 gamma=105.96
Element x y z (fractional)
Ce 0.119 0.238 0.090
Ti 0.659 0.318 0.410
Ce 0.881 0.762 0.910
Ti 0.341 0.682 0.590
Sc 0.910 0.820 0.315
Sc 0.090 0.180 0.685



(P) has the most favorable energy; the next structure is 49 meV/atom above.



(P)
DFT (PBE-GGA) results for a geometry-optimized CeScTlZn structure.

**DOS at the Fermi energy**: 1.996 states/eV/atom

Unit cell a=3.498 b=3.498 c=7.709 alpha=90.00 beta=90.00 gamma=90.00
Element x y z (fractional)
Zn 0.000 0.000 0.541
Sc 0.500 0.500 0.347
Tl 0.000 0.000 0.099
Ce 0.500 0.500 0.798



(Q)
DFT (PBE-GGA) results for a geometry-optimized CeScTlZn structure.

**DOS at the Fermi energy**: 2.411 states/eV/atom

Unit cell a=5.163 b=5.163 c=5.163 alpha=60.00 beta=60.00 gamma=60.00
Element x y z (fractional)
Tl 0.500 0.500 0.500
Sc 0.250 0.250 0.250
Ce 0.750 0.750 0.750
Zn 0.000 0.000 0.000



(P) has the most favorable energy; the next structure is 43 meV/atom above.



(P)
DFT (PBE-GGA) results for a geometry-optimized Ce2TmSc4 structure.

**DOS at the Fermi energy**: 2.124 states/eV/atom

Unit cell a=3.344 b=5.781 c=9.994 alpha=95.68 beta=89.99 gamma=106.82
Element x y z (fractional)
Tm 0.000 0.000 0.000
Sc 0.857 0.714 0.430
Ce 0.282 0.563 0.146
Sc 0.143 0.286 0.570
Sc 0.571 0.141 0.293
Ce 0.718 0.437 0.854
Sc 0.429 0.859 0.707



(Q)
DFT (PBE-GGA) results for a geometry-optimized Ce2TmSc4 structure.

**DOS at the Fermi energy**: 2.841 states/eV/atom

Unit cell a=5.199 b=5.199 c=8.863 alpha=107.06 beta=107.06 gamma=90.00
Element x y z (fractional)
Sc 0.500 0.000 0.000
Tm 0.000 0.000 0.000
Ce 0.628 0.628 0.257
Ce 0.372 0.372 0.743
Sc 0.821 0.821 0.642
Sc 0.179 0.179 0.358
Sc 0.000 0.500 0.000



(P) has the most favorable energy; the next structure is 689 meV/atom above.



(P)
DFT (PBE-GGA) results for a geometry-optimized CeTm2Sc structure.

**DOS at the Fermi energy**: 1.803 states/eV/atom

Unit cell a=3.430 b=3.430 c=11.332 alpha=81.30 beta=81.30 gamma=60.00
Element x y z (fractional)
Tm 0.253 0.253 0.241
Ce 0.501 0.501 0.498
Tm 0.080 0.080 0.759
Sc 0.666 0.666 0.002



(Q)
DFT (PBE-GGA) results for a geometry-optimized CeTm2Sc structure.

**DOS at the Fermi energy**: 2.135 states/eV/atom

Unit cell a=3.410 b=3.410 c=9.819 alpha=90.00 beta=90.00 gamma=90.00
Element x y z (fractional)
Ce 0.500 0.500 0.500
Tm 0.000 0.000 0.242
Tm 0.000 0.000 0.758
Sc 0.500 0.500 0.000



(P) has the most favorable energy; the next structure is 11 meV/atom above.



(P)
DFT (PBE-GGA) results for a geometry-optimized Ce2TmSc structure.

**DOS at the Fermi energy**: 3.148 states/eV/atom

Unit cell a=5.480 b=5.480 c=5.480 alpha=60.00 beta=60.00 gamma=60.00
Element x y z (fractional)
Ce 0.250 0.250 0.250
Sc 0.500 0.500 0.500
Ce 0.750 0.750 0.750
Tm 0.000 0.000 0.000



(Q)
DFT (PBE-GGA) results for a geometry-optimized Ce2TmSc structure.

**DOS at the Fermi energy**: 2.562 states/eV/atom

Unit cell a=3.386 b=3.386 c=9.782 alpha=90.00 beta=90.00 gamma=90.00
Element x y z (fractional)
Ce 0.000 0.000 0.242
Ce 0.000 0.000 0.758
Sc 0.500 0.500 0.000
Tm 0.500 0.500 0.500



(Q) has the most favorable energy; the next structure is 81 meV/atom above.



(P)
DFT (PBE-GGA) results for a geometry-optimized Ce2TmSc structure.

**DOS at the Fermi energy**: 2.622 states/eV/atom

Unit cell a=3.376 b=3.376 c=11.386 alpha=81.47 beta=81.47 gamma=60.00
Element x y z (fractional)
Sc 0.499 0.499 0.504
Ce 0.086 0.086 0.743
Ce 0.247 0.247 0.258
Tm 0.668 0.668 0.996



(Q)
DFT (PBE-GGA) results for a geometry-optimized Ce2TmSc structure.

**DOS at the Fermi energy**: 2.557 states/eV/atom

Unit cell a=4.923 b=4.772 c=4.772 alpha=90.00 beta=90.00 gamma=90.00
Element x y z (fractional)
Tm 0.500 0.500 0.500
Ce 0.000 0.000 0.500
Sc 0.500 0.000 0.000
Ce 0.000 0.500 0.000



(P) has the most favorable energy; the next structure is 15 meV/atom above.